# Hf3SnAs PBE relaxed
data_Hf3SnAs
_chemical_formula_sum 'Hf12 Sn4 As4'
_cell_length_a 3.8346
_cell_length_b 11.3671
_cell_length_c 9.9328
_cell_angle_alpha 90.00
_cell_angle_beta 90.00
_cell_angle_gamma 90.00
_symmetry_space_group_name_H-M 'C m c m'
_symmetry_Int_Tables_number 63
_symmetry_space_group_name_Hall '-C 2c 2'
loop_
_atom_site_label
_atom_site_type_symbol
_atom_site_fract_x
_atom_site_fract_y
_atom_site_fract_z
Hf1 Hf 0.0000 0.0447 0.2500
Hf2 Hf 0.0000 0.3523 0.0631
Sn1 Sn 0.0000 0.2602 0.7500
As1 As 0.0000 0.0000 0.0000
# Theoretical density: 11.2 g cm⁻³
# Volume: 433.0 Å³ per cell
# Spin magnetization: 0.10 μB per cell
# Uncorrected energy: -8.1988 eV/atom

# HfTa2As2 PBE relaxed
data_HfTa2As2
_chemical_formula_sum 'Hf2 Ta4 As4'
_cell_length_a 3.8915
_cell_length_b 3.8915
_cell_length_c 12.4833
_cell_angle_alpha 90.00
_cell_angle_beta 90.00
_cell_angle_gamma 90.00
_symmetry_space_group_name_H-M 'I 4/m m m'
_symmetry_Int_Tables_number 139
_symmetry_space_group_name_Hall '-I 4 2'
loop_
_atom_site_label
_atom_site_type_symbol
_atom_site_fract_x
_atom_site_fract_y
_atom_site_fract_z
Hf1 Hf 0.0000 0.0000 0.0000
Ta1 Ta 0.0000 0.5000 0.2500
As1 As 0.0000 0.0000 0.3943
# Theoretical density: 12.1 g cm⁻³
# Volume: 189.0 Å³ per cell
# Spin magnetization: 0.00 μB per cell
# Uncorrected energy: -8.7032 eV/atom

# HfTa2As PBE relaxed
data_HfTa2As
_chemical_formula_sum 'Hf4 Ta8 As4'
_cell_length_a 6.6327
_cell_length_b 6.6327
_cell_length_c 6.6327
_cell_angle_alpha 90.00
_cell_angle_beta 90.00
_cell_angle_gamma 90.00
_symmetry_space_group_name_H-M 'F -4 3 m'
_symmetry_Int_Tables_number 216
_symmetry_space_group_name_Hall 'F -4 2 3'
loop_
_atom_site_label
_atom_site_type_symbol
_atom_site_fract_x
_atom_site_fract_y
_atom_site_fract_z
Hf1 Hf 0.0000 0.0000 0.0000
Ta1 Ta 0.0000 0.0000 0.5000
Ta2 Ta 0.2500 0.2500 0.2500
As1 As 0.2500 0.2500 0.7500
# Theoretical density: 14.0 g cm⁻³
# Volume: 291.8 Å³ per cell
# Spin magnetization: 0.03 μB per cell
# Uncorrected energy: -9.5125 eV/atom

# Hf2TaAs PBE relaxed
data_Hf2TaAs
_chemical_formula_sum 'Hf8 Ta4 As4'
_cell_length_a 6.7066
_cell_length_b 6.7066
_cell_length_c 6.7066
_cell_angle_alpha 90.00
_cell_angle_beta 90.00
_cell_angle_gamma 90.00
_symmetry_space_group_name_H-M 'F -4 3 m'
_symmetry_Int_Tables_number 216
_symmetry_space_group_name_Hall 'F -4 2 3'
loop_
_atom_site_label
_atom_site_type_symbol
_atom_site_fract_x
_atom_site_fract_y
_atom_site_fract_z
Hf1 Hf 0.0000 0.0000 0.0000
Hf2 Hf 0.2500 0.2500 0.2500
Ta1 Ta 0.2500 0.2500 0.7500
As1 As 0.0000 0.0000 0.5000
# Theoretical density: 13.5 g cm⁻³
# Volume: 301.7 Å³ per cell
# Spin magnetization: 0.44 μB per cell
# Uncorrected energy: -8.9709 eV/atom